LiAc2SbAu6 | PBE | optimized geometry Values from VASP.

- space group = P-1 (2)
- spin magnetization (μB per formula unit) = 0.0
- E_form (uncorrected) (meV/atom) = -566
- ρ (kg/m³) = 11856

Geometry as Quantum ESPRESSO input:
```
&SYSTEM
  ibrav = 0, nat = 10, ntyp = 4
/
ATOMIC_SPECIES
Li 6.94 Li.upf
Ac 227.00 Ac.upf
Sb 121.76 Sb.upf
Au 196.97 Au.upf
CELL_PARAMETERS angstrom
6.965 -0.409 1.347
-0.408 7.234 -1.583
4.231 2.344 5.199
ATOMIC_POSITIONS angstrom
Li 3.278 3.413 -0.118
Ac 3.749 6.393 1.961
Ac 7.039 2.776 3.002
Sb 0.000 0.000 0.000
Au 1.387 5.036 -0.666
Au 8.310 8.238 3.873
Au 3.799 3.172 2.368
Au 9.401 4.133 5.629
Au 2.478 0.931 1.090
Au 6.988 5.997 2.595
```


InPd3Au3 | PBE | optimized geometry Values from VASP.

- space group = R-3m (166)
- spin magnetization (μB per formula unit) = 0.0
- ρ (kg/m³) = 12960
- energy of formation (eV per formula unit) = -1.41
- energy relative to the lowest polymorph listed for this composition (meV per atom) = 0

Geometry as Quantum ESPRESSO input:
```
&SYSTEM
  ibrav = 0, nat = 7, ntyp = 3
/
ATOMIC_SPECIES
In 114.82 In.upf
Pd 106.42 Pd.upf
Au 196.97 Au.upf
CELL_PARAMETERS angstrom
-0.042 4.239 3.564
-4.977 -2.431 -0.020
3.833 -3.678 1.567
ATOMIC_POSITIONS angstrom
In -0.051 -0.081 0.222
Pd -0.072 2.040 2.000
Pd 1.866 -1.919 1.002
Pd -2.539 -1.295 0.208
Au -2.561 0.825 1.990
Au 1.846 0.202 2.784
Au -0.622 -3.135 0.991
```


- Which formula does entry 2 have?
  InPd3Au3


Repeat the first record exactly.
LiAc2SbAu6 | PBE | optimized geometry Values from VASP.

- space group = P-1 (2)
- spin magnetization (μB per formula unit) = 0.0
- E_form (uncorrected) (meV/atom) = -566
- ρ (kg/m³) = 11856

Geometry as Quantum ESPRESSO input:
```
&SYSTEM
  ibrav = 0, nat = 10, ntyp = 4
/
ATOMIC_SPECIES
Li 6.94 Li.upf
Ac 227.00 Ac.upf
Sb 121.76 Sb.upf
Au 196.97 Au.upf
CELL_PARAMETERS angstrom
6.965 -0.409 1.347
-0.408 7.234 -1.583
4.231 2.344 5.199
ATOMIC_POSITIONS angstrom
Li 3.278 3.413 -0.118
Ac 3.749 6.393 1.961
Ac 7.039 2.776 3.002
Sb 0.000 0.000 0.000
Au 1.387 5.036 -0.666
Au 8.310 8.238 3.873
Au 3.799 3.172 2.368
Au 9.401 4.133 5.629
Au 2.478 0.931 1.090
Au 6.988 5.997 2.595
```